Entry 1:
The following is a PBE calculation of a relaxed structure of PrHoSc2As4, from the Alexandria database.

## Properties
Space-group type = No. 10
ΔE_f = -1.4133 eV/atom
Theoretical density = 6.2 g/cm3

abc: 4.056 6.991 7.018
angles: 70.43 90.00 90.00
Atoms (fractional coordinates):
Ho 0.000 0.500 0.500
Pr 0.500 0.500 0.000
As 0.500 0.768 0.250
As 0.000 0.228 0.264
As 0.000 0.772 0.736
As 0.500 0.232 0.750
Sc 0.500 0.000 0.500
Sc 0.000 0.000 0.000

Entry 2:
The following is a PBE calculation of a relaxed structure of PrSm2Ho3As6, from the Alexandria database.

## Properties
Space-group type = No. 12
ΔE_f = -1.5169 eV/atom
Theoretical density = 7.5 g/cm3

abc: 4.176 8.344 9.329
angles: 102.87 102.93 90.00
Atoms (fractional coordinates):
Ho 0.166 0.833 0.333
Ho 0.834 0.167 0.667
Ho 0.500 0.500 0.000
Pr 0.500 0.000 0.000
As 0.001 0.742 0.003
As 0.670 0.080 0.339
As 0.335 0.413 0.670
As 0.999 0.258 0.997
As 0.665 0.587 0.330
As 0.330 0.920 0.661
Sm 0.167 0.334 0.334
Sm 0.833 0.666 0.666

Entry 3:
The following is a PBE calculation of a relaxed structure of Pr2SmHo3As6, from the Alexandria database.

## Properties
Space-group type = No. 12
ΔE_f = -1.5099 eV/atom
Theoretical density = 7.3 g/cm3

abc: 4.192 8.374 9.364
angles: 102.85 102.94 90.00
Atoms (fractional coordinates):
Ho 0.500 0.500 0.000
Ho 0.833 0.166 0.666
Ho 0.167 0.834 0.334
As 0.664 0.590 0.328
As 0.336 0.410 0.672
As 0.332 0.925 0.664
As 0.668 0.075 0.336
As 0.997 0.253 0.994
As 0.003 0.747 0.006
Pr 0.834 0.667 0.668
Pr 0.166 0.333 0.332
Sm 0.500 0.000 0.000

Entry 4:
The following is a PBE calculation of a relaxed structure of TbPr2Ho3As6, from the Alexandria database.

## Properties
Space-group type = No. 12
ΔE_f = -1.5100 eV/atom
Theoretical density = 7.4 g/cm3

abc: 4.180 8.351 9.337
angles: 102.88 102.93 90.00
Atoms (fractional coordinates):
Ho 0.833 0.166 0.666
Ho 0.500 0.500 0.000
Ho 0.167 0.834 0.334
Pr 0.166 0.332 0.332
Pr 0.834 0.668 0.668
As 0.003 0.750 0.006
As 0.333 0.925 0.666
As 0.664 0.591 0.328
As 0.997 0.250 0.994
As 0.336 0.409 0.672
As 0.667 0.075 0.334
Tb 0.500 0.000 0.000

Entry 5:
The following is a PBE calculation of a relaxed structure of Tb3Pr2HoAs6, from the Alexandria database.

## Properties
Space-group type = No. 12
ΔE_f = -1.5143 eV/atom
Theoretical density = 7.3 g/cm3

abc: 4.193 8.380 9.368
angles: 102.93 102.93 90.00
Atoms (fractional coordinates):
As 0.997 0.247 0.994
As 0.666 0.075 0.331
As 0.336 0.411 0.671
As 0.334 0.925 0.669
As 0.003 0.753 0.006
As 0.664 0.589 0.329
Pr 0.834 0.668 0.669
Pr 0.166 0.332 0.331
Tb 0.500 0.500 0.000
Tb 0.167 0.834 0.334
Tb 0.833 0.166 0.666
Ho 0.500 0.000 0.000

Entry 6:
The following is a PBE calculation of a relaxed structure of Tb2PrHoAs4, from the Alexandria database.

## Properties
Space-group type = No. 10
ΔE_f = -1.5168 eV/atom
Theoretical density = 7.5 g/cm3

abc: 4.176 7.228 7.226
angles: 70.53 90.00 90.00
Atoms (fractional coordinates):
Pr 0.500 0.500 0.000
As 0.000 0.244 0.258
As 0.500 0.248 0.745
As 0.000 0.756 0.742
As 0.500 0.752 0.255
Tb 0.500 0.000 0.500
Tb 0.000 0.000 0.000
Ho 0.000 0.500 0.500